# YEr5Al3 | Alexandria | GGA-PBE | optimized geometry
data_YEr5Al3
_chemical_formula_sum 'Y2 Er10 Al6'
_symmetry_space_group_name_H-M 'P 1'
_symmetry_Int_Tables_number 1
_symmetry_space_group_name_Hall 'P 1'
_cell_length_a 6.605
_cell_length_b 9.006
_cell_length_c 9.006
_cell_angle_alpha 120.00
_cell_angle_beta 90.00
_cell_angle_gamma 90.00
loop_
_atom_site_label
_atom_site_type_symbol
_atom_site_fract_x
_atom_site_fract_y
_atom_site_fract_z
Y1 Y 0.000 0.000 0.000
Y2 Y 0.500 0.000 0.000
Er1 Er 0.000 0.667 0.333
Er2 Er 0.500 0.333 0.667
Er3 Er 0.000 0.333 0.667
Er4 Er 0.500 0.667 0.333
Er5 Er 0.750 0.665 0.665
Er6 Er 0.750 0.000 0.335
Er7 Er 0.750 0.335 0.000
Er8 Er 0.250 0.335 0.335
Er9 Er 0.250 0.000 0.665
Er10 Er 0.250 0.665 0.000
Al1 Al 0.750 0.332 0.332
Al2 Al 0.750 0.000 0.668
Al3 Al 0.750 0.668 0.000
Al4 Al 0.250 0.668 0.668
Al5 Al 0.250 0.000 0.332
Al6 Al 0.250 0.332 0.000
# SG: No. 193
# Spin magnetization (μB per cell): 0.00
# Fermi-level density of states (states/eV/atom): 0.9750
# ΔH_f (0 K) (eV per atom): -0.280
# DFT total energy (Ry per atom): -0.351